First-principles (GGA-PBE) data for crystalline NaMg2Cd2In at its relaxed geometry, as listed in Alexandria.

Lattice parameters (Å, degrees): 4.412 6.470 9.939 90.00 90.00 90.00
Atoms (fractional coordinates):
Cd 0.500 0.134 0.313
Cd 0.000 0.884 0.152
Cd 0.000 0.384 0.848
Cd 0.500 0.634 0.687
Mg 0.000 0.381 0.165
Mg 0.500 0.131 0.999
Mg 0.000 0.881 0.835
Mg 0.500 0.631 0.001
In 0.500 0.132 0.684
In 0.500 0.632 0.316
Na 0.000 0.385 0.508
Na 0.000 0.885 0.492

Calculated values
The density of states at the Fermi level is 2.20 states/eV/f.u. As for the symmetry: Pmc2_1, No. 26. For the formation energy, the calculation gives -0.084 eV/atom.

First-principles (GGA-PBE) data for crystalline NaMgCdIn3 at its relaxed geometry, as listed in Alexandria.

Lattice parameters (Å, degrees): 4.610 7.256 9.700 113.31 90.00 90.00
Atoms (fractional coordinates):
In 0.250 0.131 0.957
In 0.750 0.354 0.544
In 0.250 0.614 0.792
In 0.750 0.386 0.208
In 0.250 0.646 0.456
In 0.750 0.869 0.043
Mg 0.250 0.618 0.124
Mg 0.750 0.382 0.876
Na 0.750 0.869 0.705
Na 0.250 0.131 0.295
Cd 0.250 0.125 0.633
Cd 0.750 0.875 0.367

Calculated values
The density of states at the Fermi level is 2.45 states/eV/f.u. As for the symmetry: P2_1/m, No. 11. For the formation energy, the calculation gives -0.064 eV/atom.

First-principles (GGA-PBE) data for crystalline NaMgCd3In at its relaxed geometry, as listed in Alexandria.

Lattice parameters (Å, degrees): 3.268 8.494 10.234 90.00 90.00 101.09
Atoms (fractional coordinates):
Na 0.224 0.449 0.250
Na 0.776 0.551 0.750
In 0.443 0.885 0.750
In 0.557 0.115 0.250
Cd 0.337 0.674 0.007
Cd 0.663 0.326 0.507
Cd 0.663 0.326 0.993
Cd 0.104 0.209 0.750
Cd 0.337 0.674 0.493
Cd 0.896 0.791 0.250
Mg 0.000 0.000 0.500
Mg 0.000 0.000 0.000

Calculated values
The density of states at the Fermi level is 1.98 states/eV/f.u. As for the symmetry: Cmcm, No. 63. For the formation energy, the calculation gives -0.073 eV/atom.

First-principles (GGA-PBE) data for crystalline NdMgCdIn at its relaxed geometry, as listed in Alexandria.

Lattice parameters (Å, degrees): 5.242 5.242 5.242 60.00 60.00 60.00
Atoms (fractional coordinates):
In 0.750 0.750 0.750
Nd 0.500 0.500 0.500
Cd 0.250 0.250 0.250
Mg 0.000 0.000 0.000

Calculated values
The density of states at the Fermi level is 2.03 states/eV/f.u. As for the symmetry: F-43m, No. 216. For the formation energy, the calculation gives -0.338 eV/atom.

First-principles (GGA-PBE) data for crystalline MgCdIn2Ni at its relaxed geometry, as listed in Alexandria.

Lattice parameters (Å, degrees): 4.946 4.946 4.970 90.00 90.00 90.00
Atoms (fractional coordinates):
In 0.000 0.500 0.000
In 0.500 0.000 0.000
Ni 0.000 0.000 0.000
Mg 0.000 0.000 0.500
Cd 0.500 0.500 0.500

Calculated values
The density of states at the Fermi level is 2.49 states/eV/f.u. As for the symmetry: P4/mmm, No. 123. For the formation energy, the calculation gives -0.004 eV/atom.

First-principles (GGA-PBE) data for crystalline Mg2CdInNi at its relaxed geometry, as listed in Alexandria.

Lattice parameters (Å, degrees): 4.882 4.882 4.884 90.00 90.00 90.00
Atoms (fractional coordinates):
Mg 0.000 0.500 0.000
Mg 0.500 0.000 0.000
Cd 0.500 0.500 0.500
In 0.000 0.000 0.500
Ni 0.000 0.000 0.000

Calculated values
The density of states at the Fermi level is 1.81 states/eV/f.u. As for the symmetry: P4/mmm, No. 123. For the formation energy, the calculation gives 0.017 eV/atom.

First-principles (GGA-PBE) data for crystalline Mg2CdIn2Ni2 at its relaxed geometry, as listed in Alexandria.

Lattice parameters (Å, degrees): 3.132 6.457 9.792 131.18 90.00 104.04
Atoms (fractional coordinates):
Cd 0.000 0.000 0.500
Ni 0.333 0.666 0.518
Ni 0.667 0.334 0.482
Mg 0.675 0.351 0.219
Mg 0.325 0.649 0.781
In 0.601 0.203 0.853
In 0.399 0.797 0.147

Calculated values
The density of states at the Fermi level is 3.48 states/eV/f.u. As for the symmetry: C2/m, No. 12. For the formation energy, the calculation gives 0.028 eV/atom.

First-principles (GGA-PBE) data for crystalline Mg5Cd2InPb at its relaxed geometry, as listed in Alexandria.

Lattice parameters (Å, degrees): 7.100 7.100 10.276 110.21 110.21 90.00
Atoms (fractional coordinates):
Mg 0.500 0.500 0.000
Mg 0.675 0.175 0.743
Mg 0.825 0.932 0.257
Mg 0.432 0.325 0.257
Mg 0.325 0.825 0.257
Mg 0.068 0.568 0.743
Mg 0.175 0.068 0.743
Mg 0.000 0.000 0.000
Mg 0.568 0.675 0.743
Mg 0.932 0.432 0.257
In 0.750 0.750 0.500
In 0.250 0.250 0.500
Cd 0.364 0.864 0.000
Cd 0.636 0.136 0.000
Cd 0.136 0.364 0.000
Cd 0.864 0.636 0.000
Pb 0.250 0.750 0.500
Pb 0.750 0.250 0.500

Calculated values
The density of states at the Fermi level is 3.71 states/eV/f.u. As for the symmetry: I4/mcm, No. 140. For the formation energy, the calculation gives 0.037 eV/atom.

First-principles (GGA-PBE) data for crystalline Mg5Cd2InPb2 at its relaxed geometry, as listed in Alexandria.

Lattice parameters (Å, degrees): 4.190 10.999 10.999 90.00 90.00 90.00
Atoms (fractional coordinates):
Cd 0.000 0.871 0.371
Cd 0.000 0.629 0.871
Cd 0.000 0.129 0.629
Cd 0.000 0.371 0.129
Mg 0.500 0.546 0.704
Mg 0.500 0.000 0.500
Mg 0.500 0.500 0.000
Mg 0.500 0.204 0.046
Mg 0.500 0.704 0.454
Mg 0.500 0.454 0.296
Mg 0.500 0.296 0.546
Mg 0.500 0.796 0.954
Mg 0.500 0.046 0.796
Mg 0.500 0.954 0.204
Pb 0.000 0.171 0.329
Pb 0.000 0.329 0.829
Pb 0.000 0.829 0.671
Pb 0.000 0.671 0.171
In 0.000 0.000 0.000
In 0.000 0.500 0.500

Calculated values
The density of states at the Fermi level is 3.61 states/eV/f.u. As for the symmetry: P4/mbm, No. 127. For the formation energy, the calculation gives 0.006 eV/atom.

First-principles (GGA-PBE) data for crystalline Mg2CdIn2Pb2 at its relaxed geometry, as listed in Alexandria.

Lattice parameters (Å, degrees): 5.318 6.103 7.094 109.22 90.00 115.83
Atoms (fractional coordinates):
In 0.780 0.559 0.674
In 0.220 0.441 0.326
Cd 0.000 0.000 0.500
Mg 0.775 0.550 0.125
Mg 0.225 0.450 0.875
Pb 0.492 0.983 0.759
Pb 0.508 0.017 0.241

Calculated values
The density of states at the Fermi level is 3.42 states/eV/f.u. As for the symmetry: C2/m, No. 12. For the formation energy, the calculation gives 0.040 eV/atom.

First-principles (GGA-PBE) data for crystalline MgCdIn3Pb at its relaxed geometry, as listed in Alexandria.

Lattice parameters (Å, degrees): 4.588 7.347 10.284 114.71 90.00 90.00
Atoms (fractional coordinates):
Mg 0.250 0.119 0.620
Mg 0.750 0.881 0.380
In 0.250 0.632 0.785
In 0.750 0.368 0.215
In 0.750 0.889 0.048
In 0.250 0.634 0.461
In 0.250 0.111 0.952
In 0.750 0.366 0.539
Cd 0.750 0.868 0.685
Cd 0.250 0.132 0.315
Pb 0.750 0.363 0.864
Pb 0.250 0.637 0.136

Calculated values
The density of states at the Fermi level is 2.87 states/eV/f.u. As for the symmetry: P2_1/m, No. 11. For the formation energy, the calculation gives 0.004 eV/atom.

First-principles (GGA-PBE) data for crystalline MgCd2In2Pd5 at its relaxed geometry, as listed in Alexandria.

Lattice parameters (Å, degrees): 3.144 10.934 10.934 90.00 90.00 90.00
Atoms (fractional coordinates):
Pd 0.500 0.136 0.855
Pd 0.500 0.355 0.636
Pd 0.500 0.364 0.355
Pd 0.500 0.145 0.136
Pd 0.500 0.855 0.864
Pd 0.500 0.000 0.500
Pd 0.500 0.864 0.145
Pd 0.500 0.500 0.000
Pd 0.500 0.636 0.645
Pd 0.500 0.645 0.364
Mg 0.000 0.500 0.500
Mg 0.000 0.000 0.000
In 0.000 0.146 0.646
In 0.000 0.854 0.354
In 0.000 0.646 0.854
In 0.000 0.354 0.146
Cd 0.000 0.649 0.149
Cd 0.000 0.351 0.851
Cd 0.000 0.851 0.649
Cd 0.000 0.149 0.351

Calculated values
The density of states at the Fermi level is 3.97 states/eV/f.u. As for the symmetry: P4/mbm, No. 127. For the formation energy, the calculation gives -0.362 eV/atom.

Number 1: ρ 4.81 Mg/m³, calculated total energy -1.60 eV/atom. Number 2: ρ 5.62 Mg/m³, calculated total energy -2.07 eV/atom. Number 3: ρ 5.95 Mg/m³, calculated total energy -1.47 eV/atom. Number 4: ρ 6.45 Mg/m³, calculated total energy -2.84 eV/atom. Number 5: ρ 5.81 Mg/m³, calculated total energy -2.76 eV/atom. Number 6: ρ 4.77 Mg/m³, calculated total energy -2.51 eV/atom. Number 7: ρ 5.98 Mg/m³, calculated total energy -2.99 eV/atom. Number 8: ρ 4.91 Mg/m³, calculated total energy -1.77 eV/atom. Number 9: ρ 5.74 Mg/m³, calculated total energy -1.99 eV/atom. Number 10: ρ 6.93 Mg/m³, calculated total energy -2.39 eV/atom. Number 11: ρ 7.26 Mg/m³, calculated total energy -2.40 eV/atom. Number 12: ρ 8.93 Mg/m³, calculated total energy -3.85 eV/atom.